Record 1
Material: LaAl2Rh2
Method: DFT, SCAN
State: PBEsol geometry

Unit cell a=4.021 b=4.021 c=11.350 alpha=90.00 beta=90.00 gamma=90.00
Space group I4/mmm (No. 139)
Symmetry-distinct sites (fractional):
La 0.000 0.000 0.000 x2
Al 0.000 0.500 0.250 x4
Rh 0.000 0.000 0.381 x4

Properties
**Energy of formation**: -1.014 eV per atom
**Energy**: -26.244 eV/atom

---

Record 2
Material: LaAlRh
Method: DFT, SCAN
State: PBEsol geometry

Unit cell a=7.027 b=4.267 c=8.108 alpha=90.00 beta=90.00 gamma=90.00
Space group Pnma (No. 62)
Symmetry-distinct sites (fractional):
La 0.041 0.250 0.180 x4
Al 0.129 0.250 0.560 x4
Rh 0.233 0.750 0.383 x4

Properties
**Energy of formation**: -0.937 eV per atom
**Energy**: -29.147 eV/atom

---

Record 3
Material: LaAl2Rh
Method: DFT, SCAN
State: PBEsol geometry

Unit cell a=4.2141 b=4.2141 c=16.3262 alpha=90.00 beta=90.00 gamma=120.00
Space group R-3m (No. 166, hexagonal axes)
Symmetry-distinct sites (fractional):
La 0.0000 0.0000 0.0000 x3
Al 0.0000 0.0000 0.2047 x6
Rh 0.0000 0.0000 0.5000 x3

Properties
**Energy of formation**: -0.831 eV per atom
**Energy**: -23.926 eV/atom

---

Record 4
Material: LaAlRu4
Method: DFT, SCAN
State: PBEsol geometry

Unit cell a=7.384 b=7.384 c=7.384 alpha=90.00 beta=90.00 gamma=90.00
Space group F-43m (No. 216)
Symmetry-distinct sites (fractional):
La 0.000 0.000 0.000 x4
Al 0.250 0.250 0.750 x4
Ru 0.124 0.124 0.376 x16

Properties
**Energy of formation**: 0.060 eV per atom
**Energy**: -31.634 eV/atom